Entry 1:
First-principles (meta-GGA SCAN) data for a crystal of KScBP2HO9 relaxed with PBEsol, as listed in Alexandria via LeMat-Bulk.

DFT total energy = -10.065 eV per atom

abc: 5.2801 8.4088 8.2223
angles: 89.00 79.96 86.90
Atoms (fractional coordinates):
O  0.4495  0.9976  0.2708
O  0.7449  0.6052  0.6707
O  0.0363  0.4040  0.7947
O  0.7236  0.8060  0.4630
O  0.7005  0.8392  0.9581
O  0.5505  0.0024  0.7292
O  0.2551  0.3948  0.3293
O  0.9756  0.8425  0.6761
O  0.0593  0.9159  0.1514
O  0.4386  0.6364  0.1990
O  0.0244  0.1575  0.3239
O  0.2995  0.1608  0.0419
O  0.5614  0.3636  0.8010
O  0.8713  0.3424  0.5307
O  0.9407  0.0841  0.8486
O  0.1287  0.6576  0.4693
O  0.9637  0.5960  0.2053
O  0.2764  0.1940  0.5370
B  0.1061  0.2730  0.4336
B  0.8939  0.7270  0.5664
P  0.1914  0.5748  0.2980
P  0.8086  0.4252  0.7020
P  0.2125  0.0531  0.1925
P  0.7875  0.9469  0.8075
Sc  0.7151  0.8037  0.2041
Sc  0.2849  0.1963  0.7959
K  0.7183  0.3227  0.1197
K  0.2817  0.6773  0.8803
H  0.6158  0.8887  0.5318
H  0.3842  0.1113  0.4682

Entry 2:
First-principles (meta-GGA SCAN) data for a crystal of SrMnOs relaxed with PBEsol, as listed in Alexandria via LeMat-Bulk.

ΔE_f = 0.3956 eV per atom

abc: 2.8809 3.6526 6.0440
angles: 107.59 103.79 90.00
Atoms (fractional coordinates):
Sr  0.3319  0.3319  0.6638
Mn  0.0506  0.0506  0.1012
Os  0.6175  0.6175  0.2350

Entry 3:
First-principles (meta-GGA SCAN) data for a crystal of Li4Co3CuO8 relaxed with PBEsol, as listed in Alexandria via LeMat-Bulk.

formation energy (no corrections) = -1.73 eV/atom

abc: 5.6761 5.6761 5.6642
angles: 59.93 59.93 60.00
Atoms (fractional coordinates):
Li  0.0000  0.5000  0.5000
Li  0.5000  0.5000  0.5000
Li  0.0000  0.0000  0.5000
Li  0.5000  0.0000  0.5000
Cu  0.0000  0.0000  0.0000
Co  0.0000  0.5000  0.0000
Co  0.5000  0.0000  0.0000
Co  0.5000  0.5000  0.0000
O  0.7257  0.2481  0.7780
O  0.7519  0.2743  0.2220
O  0.2619  0.2619  0.2144
O  0.2481  0.7257  0.7780
O  0.7519  0.7519  0.2220
O  0.2743  0.7519  0.2220
O  0.7381  0.7381  0.7856
O  0.2481  0.2481  0.7780

Entry 4:
First-principles (meta-GGA SCAN) data for a crystal of Rb2Hg2Pd relaxed with PBEsol, as listed in Alexandria via LeMat-Bulk.

ΔE_f = -0.1745 eV per atom

abc: 5.5731 7.3232 7.3232
angles: 90.00 90.00 90.00
Atoms (fractional coordinates):
Rb  0.5000  0.8242  0.3242
Rb  0.5000  0.3242  0.1758
Rb  0.5000  0.6758  0.8242
Rb  0.5000  0.1758  0.6758
Hg  0.0000  0.8501  0.6499
Hg  0.0000  0.3501  0.8501
Hg  0.0000  0.1499  0.3501
Hg  0.0000  0.6499  0.1499
Pd  0.0000  0.0000  0.0000
Pd  0.0000  0.5000  0.5000

Entry 5:
First-principles (meta-GGA SCAN) data for a crystal of BaGaGe2Ru relaxed with PBEsol, as listed in Alexandria via LeMat-Bulk.

ΔE_f = 1.0486 eV per atom

abc: 4.7299 4.7299 5.7089
angles: 90.00 90.00 90.00
Atoms (fractional coordinates):
Ru  0.5000  0.5000  0.5000
Ga  0.0000  0.0000  0.0000
Ge  0.5000  0.0000  0.0000
Ge  0.0000  0.5000  0.0000
Ba  0.0000  0.0000  0.5000

Entry 6:
First-principles (meta-GGA SCAN) data for a crystal of Ba2YMg relaxed with PBEsol, as listed in Alexandria via LeMat-Bulk.

ΔE_f = 0.0691 eV per atom

abc: 4.0444 4.0444 9.8715
angles: 90.00 90.00 90.00
Atoms (fractional coordinates):
Y  0.5000  0.5000  0.6942
Mg  0.0000  0.0000  0.5397
Ba  0.5000  0.5000  0.3056
Ba  0.0000  0.0000  0.9604

Entry 7:
First-principles (meta-GGA SCAN) data for a crystal of LiLa4Mg relaxed with PBEsol, as listed in Alexandria via LeMat-Bulk.

ΔE_f = 0.2907 eV per atom

abc: 6.5503 6.5503 6.5503
angles: 60.00 60.00 60.00
Atoms (fractional coordinates):
La  0.3727  0.3727  0.3727
La  0.3727  0.3727  0.8818
La  0.8818  0.3727  0.3727
La  0.3727  0.8818  0.3727
Li  0.7500  0.7500  0.7500
Mg  0.0000  0.0000  0.0000

Entry 8:
First-principles (meta-GGA SCAN) data for a crystal of ZrAs3Ir relaxed with PBEsol, as listed in Alexandria via LeMat-Bulk.

ΔE_f = 0.4583 eV per atom

abc: 4.7548 4.7548 4.7548
angles: 90.00 90.00 90.00
Atoms (fractional coordinates):
As  0.0000  0.5000  0.0000
As  0.0000  0.0000  0.5000
As  0.5000  0.0000  0.0000
Ir  0.0000  0.0000  0.0000
Zr  0.5000  0.5000  0.5000

Entry 9:
First-principles (meta-GGA SCAN) data for a crystal of Rb3NbH4C6O15 relaxed with PBEsol, as listed in Alexandria via LeMat-Bulk.

DFT total energy = -10.628 eV per atom

abc: 7.8831 9.0105 11.3605
angles: 79.40 88.32 87.32
Atoms (fractional coordinates):
O  0.8121  0.1785  0.4364
O  0.0741  0.2286  0.1139
O  0.2179  0.5124  0.5920
O  0.5433  0.9231  0.3805
O  0.9177  0.3451  0.2396
O  0.7796  0.4891  0.9358
O  0.1898  0.9990  0.3952
O  0.5630  0.5110  0.6818
O  0.3553  0.7848  0.7950
O  0.4567  0.0769  0.6195
O  0.8904  0.8804  0.3352
O  0.0823  0.6549  0.7604
O  0.9259  0.7714  0.8861
O  0.2988  0.7121  0.2542
O  0.7706  0.0965  0.0642
O  0.4258  0.2311  0.9166
O  0.7012  0.2879  0.7458
O  0.6752  0.5367  0.1655
O  0.6447  0.2152  0.2050
O  0.1096  0.1196  0.6648
O  0.8102  0.0010  0.6048
O  0.2294  0.9035  0.9358
O  0.4977  0.7447  0.5433
O  0.5023  0.2553  0.4567
O  0.2204  0.5109  0.0642
O  0.4370  0.4890  0.3182
O  0.1879  0.8215  0.5636
O  0.3248  0.4633  0.8345
O  0.5742  0.7689  0.0834
O  0.7821  0.4876  0.4080
H  0.8230  0.5912  0.9065
H  0.7353  0.4968  0.0167
H  0.9685  0.9477  0.3646
H  0.2647  0.5032  0.9833
H  0.0315  0.0523  0.6354
H  0.7720  0.9136  0.3516
H  0.2280  0.0864  0.6484
H  0.1770  0.4088  0.0935
Rb  0.3747  0.0305  0.1462
Rb  0.6253  0.9695  0.8538
Rb  0.0187  0.2576  0.8629
Rb  0.9813  0.7424  0.1371
Rb  0.1422  0.3250  0.4346
Rb  0.8578  0.6750  0.5654
C  0.4170  0.6196  0.2477
C  0.7721  0.1786  0.1401
C  0.0633  0.7461  0.8350
C  0.5634  0.6496  0.1555
C  0.2279  0.8214  0.8599
C  0.7402  0.1009  0.5299
C  0.4366  0.3504  0.8445
C  0.4496  0.8558  0.4599
C  0.5830  0.3804  0.7523
C  0.5504  0.1442  0.5401
C  0.2598  0.8991  0.4701
C  0.9367  0.2539  0.1650
Nb  0.3251  0.6300  0.6700
Nb  0.6749  0.3700  0.3300

Entry 10:
First-principles (meta-GGA SCAN) data for a crystal of Li2ScIn relaxed with PBEsol, as listed in Alexandria via LeMat-Bulk.

ΔE_f = -0.2430 eV per atom

abc: 3.4950 4.7840 4.8960
angles: 90.00 90.00 90.00
Atoms (fractional coordinates):
Li  0.0000  0.0000  0.0000
Li  0.5000  0.5000  0.0000
In  0.0000  0.5000  0.5000
Sc  0.5000  0.0000  0.5000

Entry 11:
First-principles (meta-GGA SCAN) data for a crystal of BaNa2Cd2 relaxed with PBEsol, as listed in Alexandria via LeMat-Bulk.

ΔE_f = -0.1891 eV per atom

abc: 4.7043 4.7043 8.0742
angles: 106.94 106.94 90.00
Atoms (fractional coordinates):
Na  0.2500  0.7500  0.5000
Na  0.7500  0.2500  0.5000
Cd  0.5989  0.5989  0.1977
Cd  0.4011  0.4011  0.8023
Ba  0.0000  0.0000  0.0000